The following is a PBE calculation of a relaxed structure of LiZnFe2, from Alexandria. Values from VASP.

Structure (Quantum ESPRESSO input):
```
&SYSTEM
  ibrav = 0, nat = 4, ntyp = 3
/
ATOMIC_SPECIES
Fe 55.84 Fe.upf
Li 6.94 Li.upf
Zn 65.41 Zn.upf
CELL_PARAMETERS angstrom
3.835 0.000 0.000
0.000 2.487 0.188
0.000 1.492 5.348
ATOMIC_POSITIONS angstrom
Fe 0.000 0.081 0.078
Fe 1.918 1.003 1.312
Li 0.000 1.921 2.765
Zn 1.918 2.963 4.149
```

## Properties
As for the symmetry: Pm (6). The calculation puts the theoretical density at 6.12 g/cm³. The formation energy from the elements comes out at 90 meV/atom. For the spin magnetization, the calculation gives 4.613 μB per formula unit. The density of states at the Fermi level is 2.29 states/eV per cell.